No. 1
The following is a DFT calculation (GGA-PBE) of a relaxed LaCrRh crystal.

Unit cell a=2.9404 b=2.9404 c=7.3390 alpha=90.00 beta=90.00 gamma=120.00
Space group P3m1 (No. 156)
One atom of each set of equivalent atoms:
La1 0.0000 0.0000 0.0000
Cr1 0.3333 0.6667 0.6285
Rh1 0.6667 0.3333 0.3809

Summary:
Formation energy from the elements ... 583.1 meV per atom
Offset from the most stable computed form ... 64.2 kJ per mole of atoms

No. 2
The following is a DFT calculation (GGA-PBE) of a relaxed Sr3Dy3ScS8 crystal.

Unit cell a=7.9298 b=7.9298 c=20.5588 alpha=90.00 beta=90.00 gamma=120.00
Space group R-3m (No. 166, hexagonal axes)
One atom of each set of equivalent atoms:
Sr1 0.0000 0.5000 0.0000
Dy1 0.0000 0.5000 0.5000
Sc1 0.0000 0.0000 0.5000
S1 0.0000 0.0000 0.2431
S2 0.0115 0.5058 0.2390

Summary:
Uncorrected formation energy ... -2.063 eV per atom